## ErSnPd4 (PBE)

Data for a relaxed structure of ErSnPd4.

Cell and atoms, written as POSCAR:
```
ErSnPd4
1.0
0.000 3.801 3.801
3.801 0.000 3.801
3.801 3.801 0.000
Er Sn Pd
1 1 4
direct
0.000 0.000 0.000 Er
0.750 0.750 0.750 Sn
0.375 0.375 0.375 Pd
0.375 0.375 0.875 Pd
0.375 0.875 0.375 Pd
0.875 0.375 0.375 Pd
```

Values from the calculation:
The calculation puts the total magnetization at 0.00 μB/f.u. The calculated volume comes out at 109.8 Å³/f.u. The value obtained for the distance to the lowest polymorph of the same formula is 0.088 eV per atom. For the density of states at the Fermi level, the calculation gives 5.3 states/eV/f.u.